GaRh2S4 after structural relaxation. Source: Alexandria, functional PBE.

Summary:
- formation energy without anion corrections (meV per atom) = -492.1
- total magnetic moment (μB/cell) = 0.000

a = 7.1919 Å, b = 7.1919 Å, c = 17.6230 Å
α = 90.00°, β = 90.00°, γ = 120.00°
Space group R-3m (No. 166, hexagonal axes)
One atom of each set of equivalent atoms:
Ga 0.0000 0.0000 0.1252 (multiplicity 6)
Rh 0.0000 0.0000 0.5000 (multiplicity 3)
Rh 0.0000 0.5000 0.0000 (multiplicity 9)
S 0.0000 0.0000 0.2653 (multiplicity 6)
S 0.0404 0.5202 0.2551 (multiplicity 18)